The following is a DFT calculation (PBE) of an optimized crystal structure of LuMgAl3.

Output
D(E_F)   2.03 states/eV/f.u.
E_tot   -3.624 eV/atom

a b c (Å): 4.184 4.183 6.578
angles (deg): 108.23 108.23 90.04
Fractional coordinates of all 5 atoms:
Al  0.751  0.249  0.500
Al  0.395  0.395  0.791
Al  0.605  0.605  0.209
Lu  0.000  0.000  0.000
Mg  0.249  0.751  0.500



The following is a DFT calculation (PBE) of an optimized crystal structure of NiBi.

Output
D(E_F)   1.52 states/eV/f.u.
E_tot   -4.698 eV/atom

a b c (Å): 11.394 3.886 5.361
angles (deg): 90.00 90.00 90.00
Fractional coordinates of all 12 atoms:
Bi  0.708  0.000  0.690
Bi  0.500  0.500  0.408
Ni  0.114  0.500  0.651
Ni  0.886  0.500  0.651
Bi  0.208  0.500  0.190
Bi  0.000  0.000  0.908
Bi  0.792  0.500  0.190
Bi  0.292  0.000  0.690
Ni  0.614  0.000  0.151
Ni  0.386  0.000  0.151
Ni  0.000  0.000  0.414
Ni  0.500  0.500  0.914



The following is a DFT calculation (PBE) of an optimized crystal structure of Mn2AsOs.

Output
D(E_F)   3.45 states/eV/f.u.
E_tot   -8.356 eV/atom

a b c (Å): 4.623 4.623 4.623
angles (deg): 133.01 133.01 68.63
Each line ends with the local moment (μB).
Fractional coordinates of all 4 atoms:
Mn  0.500  0.500  0.000  1.76
Mn  0.000  0.000  0.000  1.76
As  0.750  0.250  0.500  -0.06
Os  0.250  0.750  0.500  -0.26



The following is a DFT calculation (PBE) of an optimized crystal structure of RePb2.

Output
D(E_F)   3.18 states/eV/f.u.
E above lowest polymorph   0.278 eV per atom
E_tot   -5.783 eV/atom

a b c (Å): 7.591 7.591 7.591
angles (deg): 155.71 155.71 34.62
Fractional coordinates of all 3 atoms:
Re  0.000  0.000  0.000
Pb  0.365  0.365  0.000
Pb  0.635  0.635  0.000